# CsNdAuSe3, relaxed, DFT PBE
data_CsNdAuSe3
_chemical_formula_sum 'Cs4 Nd4 Au4 Se12'
_space_group_name_H-M_alt 'C m c m'
_space_group_IT_number 63
_space_group_name_Hall '-C 2c 2'
_cell_length_a 4.218
_cell_length_b 16.266
_cell_length_c 11.038
_cell_angle_alpha 90.00
_cell_angle_beta 90.00
_cell_angle_gamma 90.00
loop_
_atom_site_label
_atom_site_type_symbol
_atom_site_fract_x
_atom_site_fract_y
_atom_site_fract_z
Cs1 Cs 0.000 0.248 0.250
Nd1 Nd 0.000 0.500 0.000
Au1 Au 0.000 0.035 0.750
Se1 Se 0.000 0.125 0.554
Se2 Se 0.000 0.433 0.750
# Uncorrected energy: -4.346 eV per atom

=====

# Dy2ErTm4Ni2Se2, relaxed, DFT PBE
data_Dy2ErTm4Ni2Se2
_chemical_formula_sum 'Dy4 Er2 Tm8 Ni4 Se4'
_space_group_name_H-M_alt 'I m m 2'
_space_group_IT_number 44
_cell_length_a 3.776
_cell_length_b 14.957
_cell_length_c 9.240
_cell_angle_alpha 90.00
_cell_angle_beta 90.00
_cell_angle_gamma 90.00
loop_
_space_group_symop_operation_xyz
'x,y,z'
'-x,-y,z'
'-x,y,z'
'x,-y,z'
'x+1/2,y+1/2,z+1/2'
'-x+1/2,-y+1/2,z+1/2'
'-x+1/2,y+1/2,z+1/2'
'x+1/2,-y+1/2,z+1/2'
loop_
_atom_site_label
_atom_site_type_symbol
_atom_site_fract_x
_atom_site_fract_y
_atom_site_fract_z
Dy1 Dy 0.000 0.141 0.000
Er1 Er 0.000 0.500 0.257
Tm1 Tm 0.000 0.184 0.642
Tm2 Tm 0.000 0.375 0.848
Ni1 Ni 0.000 0.259 0.336
Se1 Se 0.000 0.000 0.500
Se2 Se 0.000 0.500 0.601
# Uncorrected energy: -5.343 eV per atom

=====

# ZrTe, relaxed, DFT PBE
data_ZrTe
_chemical_formula_sum 'Zr12 Te12'
_space_group_name_H-M_alt 'P b c m'
_space_group_IT_number 57
_cell_length_a 7.268
_cell_length_b 14.846
_cell_length_c 5.492
_cell_angle_alpha 90.00
_cell_angle_beta 90.00
_cell_angle_gamma 90.00
loop_
_space_group_symop_operation_xyz
'x,y,z'
'-x,-y,-z'
'-x,-y,z+1/2'
'x,y,-z+1/2'
'x,-y+1/2,-z'
'-x,y+1/2,z'
'-x,y+1/2,-z+1/2'
'x,-y+1/2,z+1/2'
loop_
_atom_site_label
_atom_site_type_symbol
_atom_site_fract_x
_atom_site_fract_y
_atom_site_fract_z
Zr1 Zr 0.119 0.144 0.250
Zr2 Zr 0.165 0.699 0.750
Zr3 Zr 0.380 0.621 0.250
Te1 Te 0.100 0.043 0.750
Te2 Te 0.349 0.519 0.750
Te3 Te 0.409 0.200 0.750
# Uncorrected energy: -6.291 eV per atom

=====

# Bi10PdS10, relaxed, DFT PBE
data_Bi10PdS10
_chemical_formula_sum 'Bi20 Pd2 S20'
_space_group_name_H-M_alt 'P b a m'
_space_group_IT_number 55
_cell_length_a 11.671
_cell_length_b 12.734
_cell_length_c 8.163
_cell_angle_alpha 90.00
_cell_angle_beta 90.00
_cell_angle_gamma 90.00
loop_
_space_group_symop_operation_xyz
'x,y,z'
'-x,-y,-z'
'-x,-y,z'
'x,y,-z'
'x+1/2,-y+1/2,-z'
'-x+1/2,y+1/2,z'
'-x+1/2,y+1/2,-z'
'x+1/2,-y+1/2,z'
loop_
_atom_site_label
_atom_site_type_symbol
_atom_site_fract_x
_atom_site_fract_y
_atom_site_fract_z
Bi1 Bi 0.000 0.000 0.249
Bi2 Bi 0.127 0.393 0.264
Bi3 Bi 0.173 0.671 0.500
Bi4 Bi 0.216 0.559 0.000
Pd1 Pd 0.000 0.500 0.500
S1 S 0.005 0.652 0.000
S2 S 0.109 0.903 0.000
S3 S 0.162 0.885 0.500
S4 S 0.169 0.170 0.263
# Uncorrected energy: -4.274 eV per atom

=====

# YLuAlTe3, relaxed, DFT PBE
data_YLuAlTe3
_chemical_formula_sum 'Y4 Lu4 Al4 Te12'
_space_group_name_H-M_alt 'C m c m'
_space_group_IT_number 63
_space_group_name_Hall '-C 2c 2'
_cell_length_a 4.067
_cell_length_b 15.210
_cell_length_c 10.412
_cell_angle_alpha 90.00
_cell_angle_beta 90.00
_cell_angle_gamma 90.00
loop_
_atom_site_label
_atom_site_type_symbol
_atom_site_fract_x
_atom_site_fract_y
_atom_site_fract_z
Y1 Y 0.000 0.217 0.250
Lu1 Lu 0.000 0.000 0.000
Al1 Al 0.000 0.477 0.750
Te1 Te 0.000 0.121 0.750
Te2 Te 0.000 0.349 0.544
# Uncorrected energy: -4.890 eV per atom

=====

# GdTcNi, relaxed, DFT PBE
data_GdTcNi
_chemical_formula_sum 'Gd4 Tc4 Ni4'
_space_group_name_H-M_alt 'F -4 3 m'
_space_group_IT_number 216
_space_group_name_Hall 'F -4 2 3'
_cell_length_a 6.197
_cell_length_b 6.197
_cell_length_c 6.197
_cell_angle_alpha 90.00
_cell_angle_beta 90.00
_cell_angle_gamma 90.00
loop_
_atom_site_label
_atom_site_type_symbol
_atom_site_fract_x
_atom_site_fract_y
_atom_site_fract_z
Gd1 Gd 0.000 0.000 0.000
Tc1 Tc 0.000 0.000 0.500
Ni1 Ni 0.250 0.250 0.250
# DFT formation energy: 0.385 eV/atom
# Uncorrected energy: -6.476 eV per atom

=====

# NaGdZnTe3, relaxed, DFT PBE
data_NaGdZnTe3
_chemical_formula_sum 'Na4 Gd4 Zn4 Te12'
_space_group_name_H-M_alt 'C m c m'
_space_group_IT_number 63
_space_group_name_Hall '-C 2c 2'
_cell_length_a 4.314
_cell_length_b 14.761
_cell_length_c 11.675
_cell_angle_alpha 90.00
_cell_angle_beta 90.00
_cell_angle_gamma 90.00
loop_
_atom_site_label
_atom_site_type_symbol
_atom_site_fract_x
_atom_site_fract_y
_atom_site_fract_z
Na1 Na 0.000 0.236 0.250
Gd1 Gd 0.000 0.000 0.000
Zn1 Zn 0.000 0.469 0.750
Te1 Te 0.000 0.083 0.750
Te2 Te 0.000 0.360 0.569
# Uncorrected energy: -3.772 eV per atom

=====

# CuSnPt, relaxed, DFT PBE
data_CuSnPt
_chemical_formula_sum 'Cu4 Sn4 Pt4'
_space_group_name_H-M_alt 'F -4 3 m'
_space_group_IT_number 216
_space_group_name_Hall 'F -4 2 3'
_cell_length_a 6.133
_cell_length_b 6.133
_cell_length_c 6.133
_cell_angle_alpha 90.00
_cell_angle_beta 90.00
_cell_angle_gamma 90.00
loop_
_atom_site_label
_atom_site_type_symbol
_atom_site_fract_x
_atom_site_fract_y
_atom_site_fract_z
Cu1 Cu 0.000 0.000 0.000
Sn1 Sn 0.000 0.000 0.500
Pt1 Pt 0.250 0.250 0.250
# Uncorrected energy: -4.866 eV per atom

=====

# CsZrAg, relaxed, DFT PBE
data_CsZrAg
_chemical_formula_sum 'Cs4 Zr4 Ag4'
_space_group_name_H-M_alt 'F -4 3 m'
_space_group_IT_number 216
_space_group_name_Hall 'F -4 2 3'
_cell_length_a 7.084
_cell_length_b 7.084
_cell_length_c 7.084
_cell_angle_alpha 90.00
_cell_angle_beta 90.00
_cell_angle_gamma 90.00
loop_
_atom_site_label
_atom_site_type_symbol
_atom_site_fract_x
_atom_site_fract_y
_atom_site_fract_z
Cs1 Cs 0.000 0.000 0.000
Zr1 Zr 0.250 0.250 0.750
Ag1 Ag 0.000 0.000 0.500
# Uncorrected energy: -2.777 eV per atom

=====

# BePAuO, relaxed, DFT PBE
data_BePAuO
_chemical_formula_sum 'Be2 P2 Au2 O2'
_space_group_name_H-M_alt 'P m c 21'
_space_group_IT_number 26
_cell_length_a 2.796
_cell_length_b 7.068
_cell_length_c 5.583
_cell_angle_alpha 90.00
_cell_angle_beta 90.00
_cell_angle_gamma 90.00
loop_
_space_group_symop_operation_xyz
'x,y,z'
'-x,-y,z+1/2'
'-x,y,z'
'x,-y,z+1/2'
loop_
_atom_site_label
_atom_site_type_symbol
_atom_site_fract_x
_atom_site_fract_y
_atom_site_fract_z
Be1 Be 0.000 0.195 0.000
P1 P 0.000 0.488 0.495
Au1 Au 0.500 0.208 0.498
O1 O 0.500 0.112 0.998
# Uncorrected energy: -5.065 eV per atom

=====

# Li2Zn2SnGePt2, relaxed, DFT PBE
data_Li2Zn2SnGePt2
_chemical_formula_sum 'Li2 Zn2 Sn1 Ge1 Pt2'
_space_group_name_H-M_alt 'P -4 m 2'
_space_group_IT_number 115
_cell_length_a 4.390
_cell_length_b 4.390
_cell_length_c 6.383
_cell_angle_alpha 90.00
_cell_angle_beta 90.00
_cell_angle_gamma 90.00
loop_
_space_group_symop_operation_xyz
'x,y,z'
'y,-x,-z'
'-x,-y,z'
'-y,x,-z'
'-x,y,z'
'-y,-x,-z'
'x,-y,z'
'y,x,-z'
loop_
_atom_site_label
_atom_site_type_symbol
_atom_site_fract_x
_atom_site_fract_y
_atom_site_fract_z
Li1 Li 0.000 0.500 0.231
Zn1 Zn 0.000 0.000 0.000
Zn2 Zn 0.500 0.500 0.500
Sn1 Sn 0.000 0.000 0.500
Ge1 Ge 0.500 0.500 0.000
Pt1 Pt 0.000 0.500 0.769
# Uncorrected energy: -3.896 eV per atom

=====

# Nd2Dy2CI2Br2Cl, relaxed, DFT PBE
data_Nd2Dy2CI2Br2Cl
_chemical_formula_sum 'Nd4 Dy4 C2 I4 Br4 Cl2'
_space_group_name_H-M_alt 'C 1 2/m 1'
_space_group_IT_number 12
_cell_length_a 18.614
_cell_length_b 3.928
_cell_length_c 8.235
_cell_angle_alpha 90.00
_cell_angle_beta 100.99
_cell_angle_gamma 90.00
loop_
_space_group_symop_operation_xyz
'x,y,z'
'-x,-y,-z'
'-x,y,-z'
'x,-y,z'
'x+1/2,y+1/2,z'
'-x+1/2,-y+1/2,-z'
'-x+1/2,y+1/2,-z'
'x+1/2,-y+1/2,z'
loop_
_atom_site_label
_atom_site_type_symbol
_atom_site_fract_x
_atom_site_fract_y
_atom_site_fract_z
Nd1 Nd 0.004 0.000 0.289
Dy1 Dy 0.132 0.500 0.566
C1 C 0.000 0.500 0.500
I1 I 0.168 0.000 0.852
Br1 Br 0.172 0.000 0.342
Cl1 Cl 0.000 0.500 0.000
# Uncorrected energy: -4.964 eV per atom

=====

# NaPuPb, relaxed, DFT PBE
data_NaPuPb
_chemical_formula_sum 'Na4 Pu4 Pb4'
_space_group_name_H-M_alt 'F -4 3 m'
_space_group_IT_number 216
_space_group_name_Hall 'F -4 2 3'
_cell_length_a 7.414
_cell_length_b 7.414
_cell_length_c 7.414
_cell_angle_alpha 90.00
_cell_angle_beta 90.00
_cell_angle_gamma 90.00
loop_
_atom_site_label
_atom_site_type_symbol
_atom_site_fract_x
_atom_site_fract_y
_atom_site_fract_z
Na1 Na 0.000 0.000 0.000
Pu1 Pu 0.250 0.250 0.250
Pb1 Pb 0.000 0.000 0.500
# Uncorrected energy: -5.957 eV per atom

=====

# AcCdAg4, relaxed, DFT PBE
data_AcCdAg4
_chemical_formula_sum 'Ac4 Cd4 Ag16'
_space_group_name_H-M_alt 'F -4 3 m'
_space_group_IT_number 216
_space_group_name_Hall 'F -4 2 3'
_cell_length_a 8.142
_cell_length_b 8.142
_cell_length_c 8.142
_cell_angle_alpha 90.00
_cell_angle_beta 90.00
_cell_angle_gamma 90.00
loop_
_atom_site_label
_atom_site_type_symbol
_atom_site_fract_x
_atom_site_fract_y
_atom_site_fract_z
Ac1 Ac 0.000 0.000 0.000
Cd1 Cd 0.250 0.250 0.250
Ag1 Ag 0.124 0.124 0.624
# DFT formation energy: -0.236 eV/atom
# Uncorrected energy: -2.952 eV per atom

=====

# Tb2DyGa3CuAg2, relaxed, DFT PBE
data_Tb2DyGa3CuAg2
_chemical_formula_sum 'Tb4 Dy2 Ga6 Cu2 Ag4'
_space_group_name_H-M_alt 'A m m 2'
_space_group_IT_number 38
_cell_length_a 3.806
_cell_length_b 12.973
_cell_length_c 7.500
_cell_angle_alpha 90.00
_cell_angle_beta 90.00
_cell_angle_gamma 90.00
loop_
_space_group_symop_operation_xyz
'x,y,z'
'-x,-y,z'
'-x,y,z'
'x,-y,z'
'x,y+1/2,z+1/2'
'-x,-y+1/2,z+1/2'
'-x,y+1/2,z+1/2'
'x,-y+1/2,z+1/2'
loop_
_atom_site_label
_atom_site_type_symbol
_atom_site_fract_x
_atom_site_fract_y
_atom_site_fract_z
Tb1 Tb 0.000 0.198 0.000
Dy1 Dy 0.000 0.000 0.594
Ga1 Ga 0.500 0.000 0.953
Ga2 Ga 0.500 0.123 0.321
Cu1 Cu 0.000 0.000 0.199
Ag1 Ag 0.500 0.166 0.698
# Uncorrected energy: -4.050 eV per atom

=====

# Gd2YAl7Cu2, relaxed, DFT PBE
data_Gd2YAl7Cu2
_chemical_formula_sum 'Gd6 Y3 Al21 Cu6'
_space_group_name_H-M_alt 'R -3 m'
_space_group_IT_number 166
_space_group_name_Hall '-R 3 2"'
_cell_length_a 5.5070
_cell_length_b 5.5070
_cell_length_c 25.5284
_cell_angle_alpha 90.00
_cell_angle_beta 90.00
_cell_angle_gamma 120.00
loop_
_atom_site_label
_atom_site_type_symbol
_atom_site_fract_x
_atom_site_fract_y
_atom_site_fract_z
Gd1 Gd 0.0000 0.0000 0.1418
Y1 Y 0.0000 0.0000 0.0000
Al1 Al 0.0000 0.0000 0.5000
Al2 Al 0.0063 0.5031 0.9216
Cu1 Cu 0.0000 0.0000 0.3354
# Uncorrected energy: -4.610 eV per atom

=====

# Sr2PtPb, relaxed, DFT PBE
data_Sr2PtPb
_chemical_formula_sum 'Sr8 Pt4 Pb4'
_space_group_name_H-M_alt 'C m c m'
_space_group_IT_number 63
_space_group_name_Hall '-C 2c 2'
_cell_length_a 3.988
_cell_length_b 13.187
_cell_length_c 9.339
_cell_angle_alpha 90.00
_cell_angle_beta 90.00
_cell_angle_gamma 90.00
loop_
_atom_site_label
_atom_site_type_symbol
_atom_site_fract_x
_atom_site_fract_y
_atom_site_fract_z
Sr1 Sr 0.000 0.134 0.062
Pt1 Pt 0.000 0.235 0.750
Pb1 Pb 0.000 0.426 0.250
# Uncorrected energy: -3.837 eV per atom

=====

# ScSi2Au, relaxed, DFT PBE
data_ScSi2Au
_chemical_formula_sum 'Sc4 Si8 Au4'
_space_group_name_H-M_alt 'F -4 3 m'
_space_group_IT_number 216
_space_group_name_Hall 'F -4 2 3'
_cell_length_a 6.570
_cell_length_b 6.570
_cell_length_c 6.570
_cell_angle_alpha 90.00
_cell_angle_beta 90.00
_cell_angle_gamma 90.00
loop_
_atom_site_label
_atom_site_type_symbol
_atom_site_fract_x
_atom_site_fract_y
_atom_site_fract_z
Sc1 Sc 0.000 0.000 0.000
Si1 Si 0.000 0.000 0.500
Si2 Si 0.250 0.250 0.750
Au1 Au 0.250 0.250 0.250
# Uncorrected energy: -5.177 eV per atom

=====

# Na2MgAlAg2Au2, relaxed, DFT PBE
data_Na2MgAlAg2Au2
_chemical_formula_sum 'Na2 Mg1 Al1 Ag2 Au2'
_space_group_name_H-M_alt 'P -4 m 2'
_space_group_IT_number 115
_cell_length_a 4.715
_cell_length_b 4.715
_cell_length_c 6.639
_cell_angle_alpha 90.00
_cell_angle_beta 90.00
_cell_angle_gamma 90.00
loop_
_space_group_symop_operation_xyz
'x,y,z'
'y,-x,-z'
'-x,-y,z'
'-y,x,-z'
'-x,y,z'
'-y,-x,-z'
'x,-y,z'
'y,x,-z'
loop_
_atom_site_label
_atom_site_type_symbol
_atom_site_fract_x
_atom_site_fract_y
_atom_site_fract_z
Na1 Na 0.000 0.000 0.000
Na2 Na 0.500 0.500 0.500
Mg1 Mg 0.000 0.000 0.500
Al1 Al 0.500 0.500 0.000
Ag1 Ag 0.000 0.500 0.758
Au1 Au 0.000 0.500 0.239
# Uncorrected energy: -2.718 eV per atom

=====

# Au, relaxed, DFT PBE
data_Au
_chemical_formula_sum 'Au2'
_space_group_name_H-M_alt 'I m -3 m'
_space_group_IT_number 229
_space_group_name_Hall '-I 4 2 3'
_cell_length_a 3.304
_cell_length_b 3.304
_cell_length_c 3.304
_cell_angle_alpha 90.00
_cell_angle_beta 90.00
_cell_angle_gamma 90.00
loop_
_atom_site_label
_atom_site_type_symbol
_atom_site_fract_x
_atom_site_fract_y
_atom_site_fract_z
Au1 Au 0.000 0.000 0.000
# DFT formation energy: 0.018 eV/atom
# Uncorrected energy: -3.249 eV per atom